Entry 1:
DFT (GGA-PBEsol) results for an optimized crystal structure of SrSbBr2.

Summary:
Uncorrected formation energy in eV per formula unit: -3.6
Symmetry: P4/mmm, No. 123
DOS at the Fermi energy in states/eV/cell: 2.39
Energy relative to the lowest polymorph listed for this composition in meV per atom: 175
Magnetic moment in μB per formula unit: 0.000

Cell lengths 4.4367, 4.9933, 4.9933 Å; angles 90.00, 90.00, 90.00 degrees
Closest atoms and distances in Å follow each position.
Fractional coordinates of all 4 atoms:
Br  0.0000  0.0000  0.5000  4 Sb 3.34, 4 Sr 3.34, 4 Br 3.53
Br  0.0000  0.5000  0.0000  4 Sb 3.34, 4 Sr 3.34, 4 Br 3.53
Sr  0.5000  0.0000  0.0000  8 Br 3.34, 4 Sb 3.53
Sb  0.5000  0.5000  0.5000  8 Br 3.34, 4 Sr 3.53

***

Entry 2:
DFT (GGA-PBEsol) results for an optimized crystal structure of Sr2SbBr.

Summary:
Uncorrected formation energy in eV per formula unit: -5.7
Symmetry: P4/mmm, No. 123
DOS at the Fermi energy in states/eV/cell: 0.14
Magnetic moment in μB per formula unit: 0.000

Cell lengths 4.6446, 4.6446, 6.3867 Å; angles 90.00, 90.00, 90.00 degrees
Closest atoms and distances in Å follow each position.
Fractional coordinates of all 4 atoms:
Sr  0.5000  0.5000  0.5000  2 Br 3.19, 4 Sb 3.28
Sr  0.0000  0.0000  0.0000  2 Sb 3.19, 4 Br 3.28
Br  0.5000  0.5000  0.0000  6 Sr 3.19-3.28
Sb  0.0000  0.0000  0.5000  6 Sr 3.19-3.28

***

Entry 3:
DFT (GGA-PBEsol) results for an optimized crystal structure of SrSbBr3.

Summary:
Uncorrected formation energy in eV per formula unit: -3.2
Symmetry: Pm-3m, No. 221
DOS at the Fermi energy in states/eV/cell: 2.16
Magnetic moment in μB per formula unit: 0.000

Cell lengths 5.7059, 5.7059, 5.7059 Å; angles 90.00, 90.00, 90.00 degrees
Closest atoms and distances in Å follow each position.
Fractional coordinates of all 5 atoms:
Sb  0.0000  0.0000  0.0000  6 Br 2.85
Br  0.5000  0.0000  0.0000  2 Sb 2.85
Br  0.0000  0.0000  0.5000  2 Sb 2.85
Br  0.0000  0.5000  0.0000  2 Sb 2.85
Sr  0.5000  0.5000  0.5000  12 Br 4.03

***

Entry 4:
DFT (GGA-PBEsol) results for an optimized crystal structure of Sr2SbBr.

Summary:
Uncorrected formation energy in eV per formula unit: -5.5
Symmetry: Fm-3m, No. 225
Magnetic moment in μB per formula unit: 0.000

Cell lengths 5.6011, 5.6011, 5.6011 Å; angles 60.00, 60.00, 60.00 degrees
Closest atoms and distances in Å follow each position.
Fractional coordinates of all 4 atoms:
Sb  0.5000  0.5000  0.5000  8 Sr 3.43
Sr  0.7500  0.7500  0.7500  4 Sb 3.43, 4 Br 3.43
Sr  0.2500  0.2500  0.2500  4 Br 3.43, 4 Sb 3.43
Br  0.0000  0.0000  0.0000  8 Sr 3.43

***

Entry 5:
DFT (GGA-PBEsol) results for an optimized crystal structure of SrSbBr2.

Summary:
Uncorrected formation energy in eV per formula unit: -4.3
Symmetry: C2/m, No. 12
DOS at the Fermi energy in states/eV/cell: 1.09
Energy relative to the lowest polymorph listed for this composition in meV per atom: 0
Magnetic moment in μB per formula unit: 0.000

Cell lengths 3.7463, 5.8985, 6.0023 Å; angles 95.81, 108.18, 90.00 degrees
Closest atoms and distances in Å follow each position.
Fractional coordinates of all 4 atoms:
Br  0.3112  0.2724  0.6223  1 Sb 2.82, 2 Sr 3.06
Br  0.6888  0.7276  0.3777  1 Sb 2.82, 2 Sr 3.06
Sb  0.5000  0.0000  0.0000  2 Br 2.82
Sr  0.0000  0.5000  0.0000  4 Br 3.06

***

Entry 6:
DFT (GGA-PBEsol) results for an optimized crystal structure of Sr2SbBr.

Summary:
Uncorrected formation energy in eV per formula unit: -5.4
Symmetry: Pmmm, No. 47
DOS at the Fermi energy in states/eV/cell: 0.35
Magnetic moment in μB per formula unit: 0.000

Cell lengths 4.0802, 4.2343, 8.1848 Å; angles 90.05, 90.00, 90.00 degrees
Closest atoms and distances in Å follow each position.
Fractional coordinates of all 4 atoms:
Sr  0.0000  0.0007  0.2072  2 Br 3.15, 1 Sr 3.39, 4 Sb 3.39-3.40
Sr  0.0000  0.9993  0.7928  2 Br 3.15, 1 Sr 3.39, 4 Sb 3.39-3.40
Sb  0.5000  0.5000  0.0000  8 Sr 3.39-3.40
Br  0.5000  0.0000  0.5000  4 Sr 3.15

***

Entry 7:
DFT (GGA-PBEsol) results for an optimized crystal structure of SrSb2Br.

Summary:
Uncorrected formation energy in eV per formula unit: -1.9
Symmetry: Cmmm, No. 65
DOS at the Fermi energy in states/eV/cell: 2.81
Magnetic moment in μB per formula unit: 0.000

Cell lengths 3.4907, 5.8185, 6.6561 Å; angles 115.92, 90.00, 90.00 degrees
Closest atoms and distances in Å follow each position.
Fractional coordinates of all 4 atoms:
Sb  0.0000  0.0000  0.5000  2 Sb 2.91
Sb  0.0000  0.5000  0.5000  2 Sb 2.91
Sr  0.5000  0.0000  0.0000  2 Br 2.91
Br  0.5000  0.5000  0.0000  2 Sr 2.91

***

Entry 8:
DFT (GGA-PBEsol) results for an optimized crystal structure of SrSbBr2.

Summary:
Uncorrected formation energy in eV per formula unit: -4.0
Symmetry: P4/mmm, No. 123
DOS at the Fermi energy in states/eV/cell: 1.96
Energy relative to the lowest polymorph listed for this composition in meV per atom: 58
Magnetic moment in μB per formula unit: 0.359

Cell lengths 3.5423, 3.5423, 11.0131 Å; angles 90.00, 90.00, 90.00 degrees
Closest atoms and distances in Å follow each position.
Fractional coordinates of all 4 atoms:
Br  0.0000  0.0000  0.3381  4 Sr 3.07
Br  0.0000  0.0000  0.6619  4 Sr 3.07
Sr  0.5000  0.5000  0.5000  8 Br 3.07
Sb  0.5000  0.5000  0.0000  4 Sb 3.54

***

Entry 9:
DFT (GGA-PBEsol) results for an optimized crystal structure of SrSbBr2.

Summary:
Uncorrected formation energy in eV per formula unit: -3.8
Symmetry: Immm, No. 71
DOS at the Fermi energy in states/eV/cell: 0.91
Energy relative to the lowest polymorph listed for this composition in meV per atom: 119
Magnetic moment in μB per formula unit: 0.000

Cell lengths 3.6676, 6.1818, 6.1818 Å; angles 61.15, 72.74, 72.74 degrees
Closest atoms and distances in Å follow each position.
Fractional coordinates of all 4 atoms:
Sb  0.0000  0.5000  0.5000  4 Br 3.13
Br  0.2466  0.7534  0.7534  2 Sr 3.07, 2 Sb 3.13
Br  0.7534  0.2466  0.2466  2 Sr 3.07, 2 Sb 3.13
Sr  0.5000  0.0000  0.0000  4 Br 3.07

***

Entry 10:
DFT (GGA-PBEsol) results for an optimized crystal structure of TaSb2Br2.

Summary:
Uncorrected formation energy in eV per formula unit: 4.0
Symmetry: P4/mbm, No. 127
DOS at the Fermi energy in states/eV/cell: 7.59
Energy relative to the lowest polymorph listed for this composition in meV per atom: 17
Magnetic moment in μB per formula unit: 0.931

Cell lengths 3.1624, 8.6915, 8.6915 Å; angles 90.00, 90.00, 90.00 degrees
Closest atoms and distances in Å follow each position.
Fractional coordinates of all 10 atoms:
Ta  0.0000  0.5000  0.5000  2 Ta 3.16, 4 Br 3.45, 8 Sb 3.53
Ta  0.0000  0.0000  0.0000  2 Ta 3.16, 4 Br 3.45, 8 Sb 3.53
Sb  0.5000  0.1897  0.6897  2 Br 2.80
Sb  0.5000  0.3103  0.1897  2 Br 2.80
Sb  0.5000  0.8103  0.3103  2 Br 2.80
Sb  0.5000  0.6897  0.8103  2 Br 2.80
Br  0.0000  0.1223  0.3777  2 Sb 2.80, 1 Br 3.01
Br  0.0000  0.8777  0.6223  2 Sb 2.80, 1 Br 3.01
Br  0.0000  0.3777  0.8777  2 Sb 2.80, 1 Br 3.01
Br  0.0000  0.6223  0.1223  2 Sb 2.80, 1 Br 3.01

***

Entry 11:
DFT (GGA-PBEsol) results for an optimized crystal structure of TaSb2Br.

Summary:
Uncorrected formation energy in eV per formula unit: -0.2
Symmetry: Amm2, No. 38
DOS at the Fermi energy in states/eV/cell: 2.73
Energy relative to the lowest polymorph listed for this composition in meV per atom: 0
Magnetic moment in μB per formula unit: 0.009

Cell lengths 3.5135, 3.6304, 8.0908 Å; angles 102.96, 90.00, 90.00 degrees
Closest atoms and distances in Å follow each position.
Fractional coordinates of all 4 atoms:
Br  0.5000  0.5928  0.1857  2 Ta 2.62
Ta  0.0000  0.7160  0.4320  2 Br 2.62, 4 Sb 2.80
Sb  0.0000  0.9089  0.8178  1 Ta 3.04, 4 Sb 3.12
Sb  0.5000  0.2931  0.5862  4 Ta 2.80, 4 Sb 3.12

***

Entry 12:
DFT (GGA-PBEsol) results for an optimized crystal structure of TaSb2Br.

Summary:
Uncorrected formation energy in eV per formula unit: 1.2
Symmetry: Immm, No. 71
DOS at the Fermi energy in states/eV/cell: 3.74
Energy relative to the lowest polymorph listed for this composition in meV per atom: 358
Magnetic moment in μB per formula unit: 0.194

Cell lengths 3.1014, 4.9820, 6.8911 Å; angles 111.19, 103.00, 90.00 degrees
Closest atoms and distances in Å follow each position.
Fractional coordinates of all 4 atoms:
Sb  0.8038  0.8038  0.6076  2 Ta 2.90, 6 Sb 3.10-3.23
Sb  0.1962  0.1962  0.3924  2 Ta 2.90, 6 Sb 3.10-3.23
Ta  0.5000  0.0000  0.0000  4 Sb 2.90, 4 Br 2.93, 2 Ta 3.10
Br  0.0000  0.5000  0.0000  4 Ta 2.93, 2 Br 3.10

***

Entry 13:
DFT (GGA-PBEsol) results for an optimized crystal structure of TaSbBr.

Summary:
Uncorrected formation energy in eV per formula unit: 0.7
Symmetry: P-6m2, No. 187
DOS at the Fermi energy in states/eV/cell: 2.57
Magnetic moment in μB per formula unit: 0.002

Cell lengths 3.1396, 4.7264, 4.7264 Å; angles 120.00, 90.00, 90.00 degrees
Closest atoms and distances in Å follow each position.
Fractional coordinates of all 3 atoms:
Ta  0.5000  0.6667  0.3333  3 Br 2.73
Br  0.5000  0.0000  0.0000  3 Ta 2.73
Sb  0.0000  0.3333  0.6667  2 Sb 3.14, 6 Br 3.15, 6 Ta 3.15

***

Entry 14:
DFT (GGA-PBEsol) results for an optimized crystal structure of TaSb2Br.

Summary:
Uncorrected formation energy in eV per formula unit: 2.3
Symmetry: Fm-3m, No. 225
DOS at the Fermi energy in states/eV/cell: 4.73
Energy relative to the lowest polymorph listed for this composition in meV per atom: 630
Magnetic moment in μB per formula unit: 0.000

Cell lengths 5.0100, 5.0100, 5.0100 Å; angles 60.00, 60.00, 60.00 degrees
Closest atoms and distances in Å follow each position.
Fractional coordinates of all 4 atoms:
Ta  0.5000  0.5000  0.5000  8 Sb 3.07
Br  0.0000  0.0000  0.0000  8 Sb 3.07
Sb  0.7500  0.7500  0.7500  4 Ta 3.07, 4 Br 3.07
Sb  0.2500  0.2500  0.2500  4 Ta 3.07, 4 Br 3.07

***

Entry 15:
DFT (GGA-PBEsol) results for an optimized crystal structure of TaSb2Br2.

Summary:
Uncorrected formation energy in eV per formula unit: 3.9
Symmetry: I4/mmm, No. 139
DOS at the Fermi energy in states/eV/cell: 4.41
Energy relative to the lowest polymorph listed for this composition in meV per atom: 0
Magnetic moment in μB per formula unit: 0.422

Cell lengths 3.7542, 3.7542, 10.5185 Å; angles 100.28, 100.28, 90.00 degrees
Closest atoms and distances in Å follow each position.
Fractional coordinates of all 5 atoms:
Ta  0.0000  0.0000  0.0000  8 Br 3.06
Sb  0.7500  0.2500  0.5000  4 Sb 2.65
Sb  0.2500  0.7500  0.5000  4 Sb 2.65
Br  0.4250  0.4250  0.8500  1 Br 3.05, 4 Ta 3.06
Br  0.5750  0.5750  0.1500  1 Br 3.05, 4 Ta 3.06